#i
## Nd4CdHg3 (PBE)

Data for an optimized crystal structure of Nd4CdHg3.

Lattice parameters (Å, degrees): 7.6581 7.6771 15.4340 90.00 90.00 90.00
Space group Fmmm (No. 69)
Unique sites:
Nd: 0.2500 0.2500 0.1254 [16 per cell]
Cd: 0.0000 0.0000 0.0000 [4 per cell]
Hg: 0.0000 0.0000 0.2495 [8 per cell]
Hg: 0.0000 0.0000 0.5000 [4 per cell]

Results
The calculation puts the density of states at the Fermi level at 33.03 states/eV per cell.

---

#ii
## Nd4CdHg3 (PBE)

Data for an optimized crystal structure of Nd4CdHg3.

Lattice parameters (Å, degrees): 3.7494 4.9915 12.2957 90.00 90.00 90.00
Space group Pmm2 (No. 25)
Unique sites:
Nd: 0.0000 0.0000 0.0000 [1 per cell]
Nd: 0.0000 0.5000 0.3007 [1 per cell]
Nd: 0.5000 0.0000 0.4965 [1 per cell]
Nd: 0.5000 0.5000 0.8037 [1 per cell]
Cd: 0.0000 0.0000 0.7247 [1 per cell]
Hg: 0.0000 0.5000 0.5738 [1 per cell]
Hg: 0.5000 0.0000 0.2285 [1 per cell]
Hg: 0.5000 0.5000 0.0720 [1 per cell]

Results
The calculation puts the density of states at the Fermi level at 9.82 states/eV per cell.

---

On energetic grounds, #i is preferred over the next structure by 45 meV/atom.

---

#i
## Nd2CdHg6 (PBE)

Data for an optimized crystal structure of Nd2CdHg6.

Lattice parameters (Å, degrees): 5.2094 5.2094 9.5870 90.00 90.00 120.00
Space group P-3m1 (No. 164)
Unique sites:
Nd: 0.3333 0.6667 0.2304 [2 per cell]
Cd: 0.0000 0.0000 0.0000 [1 per cell]
Hg: 0.0000 0.0000 0.3404 [2 per cell]
Hg: 0.3333 0.6667 0.5742 [2 per cell]
Hg: 0.3333 0.6667 0.9005 [2 per cell]

Results
The calculation puts the density of states at the Fermi level at 2.37 states/eV per cell.

---

#ii
## Nd2CdHg6 (PBE)

Data for an optimized crystal structure of Nd2CdHg6.

Lattice parameters (Å, degrees): 8.5819 8.8512 6.0483 90.00 92.42 90.00
Space group C2/m (No. 12)
Unique sites:
Nd: 0.1746 0.0000 0.1787 [4 per cell]
Cd: 0.0000 0.5000 0.5000 [2 per cell]
Hg: 0.0000 0.3352 0.0000 [4 per cell]
Hg: 0.1681 0.1665 0.6690 [8 per cell]

Results
The calculation puts the density of states at the Fermi level at 11.98 states/eV per cell.

---

On energetic grounds, #i is preferred over the next structure by 47 meV/atom.

---

#i
## NdCdHgPb (PBE)

Data for an optimized crystal structure of NdCdHgPb.

Lattice parameters (Å, degrees): 4.5556 4.7210 4.9475 90.00 90.00 90.00
Space group Pmmm (No. 47)
Unique sites:
Nd: 0.0000 0.0000 0.0000 [1 per cell]
Cd: 0.0000 0.5000 0.5000 [1 per cell]
Hg: 0.5000 0.0000 0.5000 [1 per cell]
Pb: 0.5000 0.5000 0.0000 [1 per cell]

Results
The calculation puts the density of states at the Fermi level at 1.94 states/eV per cell.

---

#ii
## NdCdHgPb (PBE)

Data for an optimized crystal structure of NdCdHgPb.

Lattice parameters (Å, degrees): 7.5700 7.5700 7.5700 90.00 90.00 90.00
Space group F-43m (No. 216)
Unique sites:
Nd: 0.0000 0.0000 0.0000 [4 per cell]
Cd: 0.0000 0.0000 0.5000 [4 per cell]
Hg: 0.2500 0.2500 0.2500 [4 per cell]
Pb: 0.2500 0.2500 0.7500 [4 per cell]

Results
The calculation puts the density of states at the Fermi level at 13.54 states/eV per cell.

---

On energetic grounds, #i is preferred over the next structure by 125 meV/atom.

---

#i
## Cd2Ni2Hg (PBE)

Data for an optimized crystal structure of Cd2Ni2Hg.

Lattice parameters (Å, degrees): 7.6961 7.6961 2.9332 90.00 90.00 90.00
Space group P4/mbm (No. 127)
Unique sites:
Cd: 0.1377 0.3623 0.0000 [4 per cell]
Ni: 0.1580 0.6580 0.5000 [4 per cell]
Hg: 0.0000 0.0000 0.0000 [2 per cell]

Results
The calculation puts the density of states at the Fermi level at 4.44 states/eV per cell.

---

#ii
## Cd2Ni2Hg (PBE)

Data for an optimized crystal structure of Cd2Ni2Hg.

Lattice parameters (Å, degrees): 6.7427 6.7427 3.8322 90.00 90.00 90.00
Space group P4/mbm (No. 127)
Unique sites:
Cd: 0.1645 0.3355 0.0000 [4 per cell]
Ni: 0.1275 0.6275 0.5000 [4 per cell]
Hg: 0.0000 0.0000 0.5000 [2 per cell]

Results
The calculation puts the density of states at the Fermi level at 6.81 states/eV per cell.

---

On energetic grounds, #ii is preferred over the next structure by 136 meV/atom.

---

#i
## Cd2Ni2Hg (PBE)

Data for an optimized crystal structure of Cd2Ni2Hg.

Lattice parameters (Å, degrees): 3.9710 3.9710 11.7787 90.00 90.00 90.00
Space group I4/mmm (No. 139)
Unique sites:
Cd: 0.0000 0.5000 0.2500 [4 per cell]
Ni: 0.0000 0.0000 0.0967 [4 per cell]
Hg: 0.0000 0.0000 0.5000 [2 per cell]

Results
The calculation puts the density of states at the Fermi level at 5.26 states/eV per cell.

---

#ii
## Cd2Ni2Hg (PBE)

Data for an optimized crystal structure of Cd2Ni2Hg.

Lattice parameters (Å, degrees): 3.3540 3.3540 16.8949 90.00 90.00 90.00
Space group I4/mmm (No. 139)
Unique sites:
Cd: 0.0000 0.0000 0.1234 [4 per cell]
Ni: 0.0000 0.5000 0.2500 [4 per cell]
Hg: 0.0000 0.0000 0.5000 [2 per cell]

Results
The calculation puts the density of states at the Fermi level at 11.71 states/eV per cell.

---

On energetic grounds, #ii is preferred over the next structure by 99 meV/atom.

---

#i
## CdNiHg3 (PBE)

Data for an optimized crystal structure of CdNiHg3.

Lattice parameters (Å, degrees): 5.0911 5.0911 5.0911 90.00 90.00 90.00
Space group Pm-3m (No. 221)
Unique sites:
Cd: 0.0000 0.0000 0.0000 [1 per cell]
Ni: 0.5000 0.5000 0.5000 [1 per cell]
Hg: 0.0000 0.5000 0.5000 [3 per cell]

Results
The calculation puts the density of states at the Fermi level at 1.55 states/eV per cell.

---

#ii
## CdNiHg3 (PBE)

Data for an optimized crystal structure of CdNiHg3.

Lattice parameters (Å, degrees): 5.5361 5.5361 5.5361 90.00 90.00 90.00
Space group Pm-3m (No. 221)
Unique sites:
Cd: 0.0000 0.0000 0.0000 [1 per cell]
Ni: 0.5000 0.5000 0.5000 [1 per cell]
Hg: 0.0000 0.0000 0.5000 [3 per cell]

Results
The calculation puts the density of states at the Fermi level at 12.30 states/eV per cell.

---

On energetic grounds, #i is preferred over the next structure by 681 meV/atom.

---

#i
## CdNiHgPb2 (PBE)

Data for an optimized crystal structure of CdNiHgPb2.

Lattice parameters (Å, degrees): 5.1494 5.1494 5.1155 90.00 90.00 90.00
Space group P4/mmm (No. 123)
Unique sites:
Cd: 0.0000 0.0000 0.0000 [1 per cell]
Ni: 0.5000 0.5000 0.5000 [1 per cell]
Hg: 0.5000 0.5000 0.0000 [1 per cell]
Pb: 0.0000 0.5000 0.5000 [2 per cell]

Results
The calculation puts the density of states at the Fermi level at 2.70 states/eV per cell.

---

#ii
## CdNiHgPb2 (PBE)

Data for an optimized crystal structure of CdNiHgPb2.

Lattice parameters (Å, degrees): 5.1347 5.1347 5.1112 90.00 90.00 90.00
Space group P4/mmm (No. 123)
Unique sites:
Cd: 0.0000 0.0000 0.0000 [1 per cell]
Ni: 0.0000 0.0000 0.5000 [1 per cell]
Hg: 0.5000 0.5000 0.0000 [1 per cell]
Pb: 0.0000 0.5000 0.5000 [2 per cell]

Results
The calculation puts the density of states at the Fermi level at 3.10 states/eV per cell.

---

On energetic grounds, #ii is preferred over the next structure by 50 meV/atom.

---

#i
## SrCd2NiHg (PBE)

Data for an optimized crystal structure of SrCd2NiHg.

Lattice parameters (Å, degrees): 5.0647 5.0647 5.4836 90.00 90.00 90.00
Space group P4/mmm (No. 123)
Unique sites:
Sr: 0.0000 0.0000 0.0000 [1 per cell]
Cd: 0.0000 0.5000 0.5000 [2 per cell]
Ni: 0.0000 0.0000 0.5000 [1 per cell]
Hg: 0.5000 0.5000 0.0000 [1 per cell]

Results
The calculation puts the density of states at the Fermi level at 2.05 states/eV per cell.

---

#ii
## SrCd2NiHg (PBE)

Data for an optimized crystal structure of SrCd2NiHg.

Lattice parameters (Å, degrees): 5.0321 5.0321 5.1040 90.00 90.00 90.00
Space group P4/mmm (No. 123)
Unique sites:
Sr: 0.0000 0.0000 0.0000 [1 per cell]
Cd: 0.0000 0.5000 0.5000 [2 per cell]
Ni: 0.5000 0.5000 0.5000 [1 per cell]
Hg: 0.5000 0.5000 0.0000 [1 per cell]

Results
The calculation puts the density of states at the Fermi level at 3.01 states/eV per cell.

---

On energetic grounds, #ii is preferred over the next structure by 87 meV/atom.